[1]
Material: TcAg2P
Method: DFT, PBE
State: relaxed

Properties
Its density is 8813 kg/m³. The value obtained for the energy relative to the elements is 0.536 eV/atom. The calculation puts the volume at 16.2 Å³/atom. Its crystal system is orthorhombic.

abc: 2.6717 4.6522 5.2254
angles: 90.00 90.00 90.00
Last column: nearest neighbours and their distance in Å.
Space group Pmmm (No. 47)
Inequivalent atoms, fractional coordinates:
Tc 0.0000 0.0000 0.0000 (multiplicity 1)  2 P 2.61, 2 Tc 2.67
Ag 0.5000 0.5000 0.2472 (multiplicity 2)  4 Ag 2.58-2.67
P 0.0000 0.0000 0.5000 (multiplicity 1)  2 Tc 2.61, 2 P 2.67

=====

[2]
Material: Tb3Pr4Cd4
Method: DFT, PBE
State: relaxed

Properties
Its density is 7373 kg/m³. The value obtained for the energy relative to the elements is -0.130 eV/atom. The calculation puts the volume at 30.5 Å³/atom. Its crystal system is orthorhombic.

abc: 3.5943 9.3457 19.9812
angles: 90.00 90.00 90.00
Last column: nearest neighbours and their distance in Å.
Space group Immm (No. 71)
Inequivalent atoms, fractional coordinates:
Tb 0.0000 0.0000 0.0000 (multiplicity 2)  4 Cd 3.28, 2 Tb 3.59
Tb 0.0000 0.5000 0.0972 (multiplicity 4)  6 Cd 3.17-3.27
Pr 0.0000 0.3245 0.3434 (multiplicity 8)  3 Pr 3.28-3.59, 4 Cd 3.32-3.35
Cd 0.0000 0.0000 0.2720 (multiplicity 4)  2 Tb 3.17, 6 Pr 3.35
Cd 0.0000 0.2059 0.5000 (multiplicity 4)  6 Tb 3.27-3.28, 2 Pr 3.32, 2 Cd 3.59

=====

[3]
Material: BaP2
Method: DFT, PBE
State: relaxed

Properties
Its density is 3992 kg/m³. The value obtained for the energy relative to the elements is -0.804 eV/atom. The calculation puts the volume at 27.6 Å³/atom. Its crystal system is monoclinic.

abc: 6.4538 12.3553 7.7837
angles: 90.00 126.75 90.00
Last column: nearest neighbours and their distance in Å.
Space group P2_1/c (No. 14)
Inequivalent atoms, fractional coordinates:
Ba 0.0000 0.0000 0.0000 (multiplicity 2)  6 P 3.26-3.31
Ba 0.2734 0.1629 0.6704 (multiplicity 4)  9 P 3.29-3.56
P 0.1790 0.7022 0.3470 (multiplicity 4)  2 P 2.21-2.22
P 0.3162 0.6299 0.9634 (multiplicity 4)  2 P 2.22-2.26
P 0.4321 0.6078 0.2991 (multiplicity 4)  2 P 2.21-2.26

=====

[4]
Material: SrTiZn2
Method: DFT, PBE
State: relaxed

Properties
Its density is 5224 kg/m³. The value obtained for the energy relative to the elements is -0.038 eV/atom. The calculation puts the volume at 21.2 Å³/atom. Its crystal system is tetragonal.

abc: 3.4075 3.4075 7.2907
angles: 90.00 90.00 90.00
Last column: nearest neighbours and their distance in Å.
Space group P4/mmm (No. 123)
Inequivalent atoms, fractional coordinates:
Sr 0.0000 0.0000 0.0000 (multiplicity 1)  8 Zn 3.32, 4 Sr 3.41, 2 Ti 3.65
Ti 0.0000 0.0000 0.5000 (multiplicity 1)  8 Zn 2.77
Zn 0.5000 0.5000 0.3136 (multiplicity 2)  1 Zn 2.72, 4 Ti 2.77